(1)
TcAu2N (PBE-GGA, optimized geometry); formation energy from raw total energies = 867 meV per atom; E = -43.56 eV for the cell shown; space-group type = I-42d (122)
1.0
8.5410 0.0000 0.0000
0.0000 8.5410 0.0000
4.2705 4.2705 1.9082
Au N Tc
4 2 2
Direct
0.2393 0.6250 0.2500
0.8750 0.7607 0.7500
0.5107 0.1250 0.2500
0.3750 0.4893 0.7500
0.5000 0.5000 0.0000
0.2500 0.7500 0.5000
0.0000 0.0000 0.0000
0.7500 0.2500 0.5000

=====

(2)
Ba2SrLaS4 (PBE-GGA, optimized geometry); formation energy from raw total energies = -2089 meV per atom; E = -43.68 eV for the cell shown; space-group type = P2/m (10)
1.0
-1.2764 -3.6992 -1.9054
1.1346 -3.7194 6.4607
-7.1876 2.5754 -0.1852
Ba S La Sr
2 4 1 1
Direct
0.5000 0.0000 0.5000
0.0000 0.5000 0.5000
0.5000 0.2496 0.2281
0.0000 0.7363 0.2254
0.0000 0.2637 0.7746
0.5000 0.7504 0.7719
0.5000 0.5000 0.0000
0.0000 0.0000 0.0000

=====

(3)
GaSb2O4 (PBE-GGA, optimized geometry); formation energy from raw total energies = -1206 meV per atom; E = -39.55 eV for the cell shown; space-group type = P1 (1)
1.0
4.7299 -1.7455 -3.0596
-1.8022 6.6490 -1.2821
-1.8264 0.7581 5.5844
O Sb Ga
4 2 1
Direct
0.4536 0.2822 0.3212
0.8727 0.9450 0.2771
0.0530 0.8030 0.8394
0.5043 0.9352 0.6316
0.4732 0.0686 0.9076
0.0765 0.5047 0.9079
0.0667 0.9612 0.1152

=====

(4)
K2InPS4 (PBE-GGA, optimized geometry); formation energy from raw total energies = -604 meV per atom; E = -31.68 eV for the cell shown; space-group type = I-4 (82)
1.0
6.7387 0.0042 0.0064
-2.8675 6.0981 -0.0064
-2.8675 -2.4599 5.5799
K S In P
2 4 1 1
Direct
0.0000 0.0000 0.0000
0.5000 0.7500 0.2500
0.9178 0.5565 0.1417
0.5851 0.3612 0.4435
0.4149 0.8583 0.7761
0.0822 0.2239 0.6388
0.5000 0.2500 0.7500
0.0000 0.5000 0.5000

=====

(5)
MgMn2P (PBE-GGA, optimized geometry); E = -25.37 eV for the cell shown; formation energy from the elements = -6 meV per atom; space-group type = P4mm (99)
1.0
-0.7205 -2.8337 0.8541
2.2867 0.0251 2.0122
-3.6637 2.1782 4.1363
Mg Mn P
1 2 1
Direct
0.5000 0.5000 0.7551
0.5000 0.5000 0.2564
0.0000 0.0000 0.0504
0.0000 0.0000 0.4381

=====

(6)
LiCu2Sn (PBE-GGA, optimized geometry); E = -14.50 eV for the cell shown; formation energy from the elements = -98 meV per atom; space-group type = P4/mmm (123)
1.0
3.6849 0.0000 0.0000
0.0000 4.0583 0.0000
0.0000 0.0000 4.0583
Sn Li Cu
1 1 2
Direct
0.5000 0.0000 0.0000
0.5000 0.5000 0.5000
0.0000 0.5000 0.0000
0.0000 0.0000 0.5000

=====

The highest E belongs to which entry? LiCu2Sn

=====

Copy entry 4 word for word.
K2InPS4 (PBE-GGA, optimized geometry); formation energy from raw total energies = -604 meV per atom; E = -31.68 eV for the cell shown; space-group type = I-4 (82)
1.0
6.7387 0.0042 0.0064
-2.8675 6.0981 -0.0064
-2.8675 -2.4599 5.5799
K S In P
2 4 1 1
Direct
0.0000 0.0000 0.0000
0.5000 0.7500 0.2500
0.9178 0.5565 0.1417
0.5851 0.3612 0.4435
0.4149 0.8583 0.7761
0.0822 0.2239 0.6388
0.5000 0.2500 0.7500
0.0000 0.5000 0.5000

=====

Look up the E of the second one. -43.68 eV for the cell shown

=====

Which value of E does entry 1 give? -43.56 eV for the cell shown